Crystalline LiTi2NbW at its relaxed geometry. Source: Alexandria via LeMat-Bulk, functional GGA-PBE.

magnetic moment: 0.000 μB/atom
density: 6.84 g cm⁻³
total DFT energy (no corrections): -0.489 Ry/atom
energy of formation: 1.50 eV per atom

Cell: 4.6151 4.6151 4.3222 Å, 90.00 90.00 90.00°
Sites, in units of the cell vectors:
Li 0.0000 0.0000 0.0000
Ti 0.0000 0.5000 0.5000
Ti 0.5000 0.0000 0.5000
Nb 0.0000 0.0000 0.5000
W 0.5000 0.5000 0.0000